{"formula": "SiNi2B", "functional": "PBE", "state": "optimized geometry", "polymorph_energy_ev_per_fu": 0.03, "e_form_raw_mev_per_atom": 13, "e_tot_ev_per_atom": -5.90, "rho_g_cm3": 6.7, "lattice": [[3.147, 0.000, 0.000], [0.000, 3.501, 0.000], [0.000, 0.000, 3.501]], "species": ["Ni", "Ni", "Si", "B"], "fractional_positions": [[0.000, 0.000, 0.500], [0.000, 0.500, 0.000], [0.500, 0.500, 0.500], [0.500, 0.000, 0.000]]}

{"formula": "Si3NiB", "functional": "PBE", "state": "optimized geometry", "polymorph_energy_ev_per_fu": 0.00, "e_form_raw_mev_per_atom": 708, "e_tot_ev_per_atom": -5.04, "rho_g_cm3": 3.9, "lattice": [[-0.590, -2.011, -3.439], [3.931, 0.272, -0.834], [0.649, -3.479, 1.923]], "species": ["Ni", "Si", "Si", "Si", "B"], "fractional_positions": [[0.500, 0.500, 0.500], [0.000, 0.500, 0.000], [0.000, 0.000, 0.500], [0.500, 0.000, 0.000], [0.000, 0.000, 0.000]]}

{"formula": "Si2Ni8B", "functional": "PBE", "state": "optimized geometry", "polymorph_energy_ev_per_fu": 0.93, "e_form_raw_mev_per_atom": -272, "e_tot_ev_per_atom": -6.07, "rho_g_cm3": 7.6, "lattice": [[0.119, 2.736, -2.430], [-4.878, -2.704, -3.283], [-0.857, 2.532, 5.568]], "species": ["Si", "Si", "Ni", "Ni", "Ni", "Ni", "Ni", "Ni", "Ni", "Ni", "B"], "fractional_positions": [[0.198, 0.698, 0.397], [0.802, 0.302, 0.603], [0.655, 0.881, 0.309], [0.345, 0.572, 0.691], [0.127, 0.127, 0.254], [0.000, 0.316, 0.000], [0.873, 0.873, 0.746], [0.655, 0.428, 0.309], [0.345, 0.119, 0.691], [0.000, 0.684, 0.000], [0.500, 0.000, 0.000]]}

{"formula": "Si2NiB", "functional": "PBE", "state": "optimized geometry", "e_form_raw_mev_per_atom": 291, "e_tot_ev_per_atom": -5.54, "rho_g_cm3": 3.6, "lattice": [[-3.387, -3.504, -1.701], [2.486, -3.680, 2.632], [-2.994, -2.823, 3.944]], "species": ["Ni", "Ni", "Si", "Si", "Si", "Si", "B", "B"], "fractional_positions": [[0.000, 0.000, 0.000], [0.750, 0.250, 0.500], [0.580, 0.125, 0.250], [0.170, 0.625, 0.250], [0.375, 0.420, 0.750], [0.875, 0.830, 0.750], [0.500, 0.500, 0.000], [0.250, 0.750, 0.500]]}

{"formula": "SiNi6B", "functional": "PBE", "state": "optimized geometry", "e_form_raw_mev_per_atom": -50, "e_tot_ev_per_atom": -5.90, "rho_g_cm3": 7.2, "lattice": [[-3.926, -2.850, -0.999], [-0.667, -4.250, 2.467], [-3.778, -0.314, 3.426]], "species": ["Si", "Ni", "Ni", "Ni", "Ni", "Ni", "Ni", "B"], "fractional_positions": [[0.000, 0.000, 0.000], [0.062, 0.489, 0.743], [0.706, 0.062, 0.742], [0.511, 0.294, 0.258], [0.294, 0.938, 0.258], [0.938, 0.511, 0.257], [0.489, 0.706, 0.742], [0.500, 0.500, 0.500]]}

{"formula": "SiNi2B", "functional": "PBE", "state": "optimized geometry", "polymorph_energy_ev_per_fu": 1.30, "e_form_raw_mev_per_atom": 328, "e_tot_ev_per_atom": -5.59, "rho_g_cm3": 4.9, "lattice": [[-1.206, 1.734, -3.873], [-4.064, -1.630, 0.536], [-4.148, 4.657, 0.864]], "species": ["Ni", "Ni", "Ni", "Ni", "Si", "Si", "B", "B"], "fractional_positions": [[0.546, 0.125, 0.250], [0.204, 0.625, 0.250], [0.375, 0.454, 0.750], [0.875, 0.796, 0.750], [0.000, 0.000, 0.000], [0.750, 0.250, 0.500], [0.500, 0.500, 0.000], [0.250, 0.750, 0.500]]}

{"formula": "SiNi2B", "functional": "PBE", "state": "optimized geometry", "polymorph_energy_ev_per_fu": 0.00, "e_form_raw_mev_per_atom": 4, "e_tot_ev_per_atom": -5.91, "rho_g_cm3": 6.7, "lattice": [[0.000, 2.684, 2.684], [2.684, 0.000, 2.684], [2.684, 2.684, 0.000]], "species": ["Ni", "Ni", "Si", "B"], "fractional_positions": [[0.250, 0.250, 0.250], [0.750, 0.750, 0.750], [0.500, 0.500, 0.500], [0.000, 0.000, 0.000]]}

{"formula": "Si2Ni8B", "functional": "PBE", "state": "optimized geometry", "polymorph_energy_ev_per_fu": 0.00, "e_form_raw_mev_per_atom": -357, "e_tot_ev_per_atom": -6.15, "rho_g_cm3": 7.7, "lattice": [[-3.743, -0.106, -0.575], [0.753, -1.668, -4.593], [1.374, -5.035, 4.458]], "species": ["Si", "Si", "Ni", "Ni", "Ni", "Ni", "Ni", "Ni", "Ni", "Ni", "B"], "fractional_positions": [[0.824, 0.293, 0.648], [0.176, 0.707, 0.352], [0.401, 0.585, 0.801], [0.645, 0.951, 0.291], [0.793, 0.717, 0.587], [0.985, 0.226, 0.970], [0.207, 0.283, 0.413], [0.355, 0.049, 0.709], [0.599, 0.415, 0.199], [0.015, 0.774, 0.030], [0.500, 0.000, 0.000]]}